! PBE-GGA TbHo2Tl, relaxed; values from VASP
! Spin magnetization: 1.51 μB/cell
! SG: Fm-3m (225)
! Energy relative to the elements: -11 meV per atom
&SYSTEM
  ibrav = 0, nat = 4, ntyp = 3
/
ATOMIC_SPECIES
Ho 164.93 Ho.upf
Tb 158.93 Tb.upf
Tl 204.38 Tl.upf
CELL_PARAMETERS angstrom
5.453 0.000 0.000
2.726 4.722 0.000
2.726 1.574 4.452
ATOMIC_POSITIONS crystal
Ho 0.750 0.750 0.750
Ho 0.250 0.250 0.250
Tb 0.500 0.500 0.500
Tl 0.000 0.000 0.000